DFT (PBE) results for crystalline CeB4C4 at its relaxed geometry.

a b c (Å): 5.2357 5.2357 5.2357
angles (deg): 94.21 94.21 148.54
Positions (direct):
Ce 0.0000 0.0000 0.0000
B 0.1857 0.6355 0.8212
B 0.3645 0.1857 0.5502
B 0.6355 0.8143 0.4498
B 0.8143 0.3645 0.1788
C 0.2149 0.4010 0.6159
C 0.4010 0.7851 0.1860
C 0.5990 0.2149 0.8140
C 0.7851 0.5990 0.3841

Values from the calculation:
Energy (eV per atom): -7.67
M_tot (μB/f.u.): 0.0
Theoretical density (g/cm³): 5.330
Calculated volume (Å³ per atom): 8.01
ΔE_f (eV/atom): 0.05

=====

DFT (PBE) results for crystalline PmHo2Rh2 at its relaxed geometry.

a b c (Å): 4.4981 4.4981 6.6285
angles (deg): 106.93 106.93 89.97
Positions (direct):
Pm 0.0000 0.0000 0.0000
Ho 0.2530 0.7470 0.5000
Ho 0.7470 0.2530 0.5000
Rh 0.3676 0.3676 0.7871
Rh 0.6324 0.6324 0.2129

Values from the calculation:
Energy (eV per atom): -6.29
M_tot (μB/f.u.): 0.0
Theoretical density (g/cm³): 9.249
Energy above the most stable polymorph in this dataset (meV/atom): 34.4
Calculated volume (Å³ per atom): 24.44
ΔE_f (eV/atom): -0.57

=====

DFT (PBE) results for crystalline Ca2GdNi at its relaxed geometry.

a b c (Å): 10.8349 10.8349 10.8349
angles (deg): 19.44 19.44 19.44
Positions (direct):
Ca 0.1109 0.1109 0.1109
Ca 0.8891 0.8891 0.8891
Gd 0.0000 0.0000 0.0000
Ni 0.5000 0.5000 0.5000

Values from the calculation:
Energy (eV per atom): -5.73
M_tot (μB/f.u.): 7.8
Theoretical density (g/cm³): 3.993
Calculated volume (Å³ per atom): 30.79
ΔE_f (eV/atom): 0.23

=====

DFT (PBE) results for crystalline Hg2AuO at its relaxed geometry.

a b c (Å): 7.4273 7.4273 7.4273
angles (deg): 26.68 26.68 26.68
Positions (direct):
Hg 0.2361 0.2361 0.2361
Hg 0.7639 0.7639 0.7639
Au 0.0000 0.0000 0.0000
O 0.5000 0.5000 0.5000

Values from the calculation:
Energy (eV per atom): -2.23
ΔE_f (raw) (meV per atom): -17
M_tot (μB/f.u.): 0.0
Theoretical density (g/cm³): 14.007
Calculated volume (Å³ per atom): 18.20

=====

DFT (PBE) results for crystalline SrUPb2Se6 at its relaxed geometry.

a b c (Å): 7.9047 7.9047 7.9047
angles (deg): 57.03 57.03 57.03
Positions (direct):
Sr 0.0000 0.0000 0.0000
U 0.4919 0.4919 0.4919
Pb 0.2948 0.2948 0.2948
Pb 0.8035 0.8035 0.8035
Se 0.1252 0.6924 0.4026
Se 0.2499 0.6046 0.8455
Se 0.4026 0.1252 0.6924
Se 0.6046 0.8455 0.2499
Se 0.6924 0.4026 0.1252
Se 0.8455 0.2499 0.6046

Values from the calculation:
Energy (eV per atom): -5.10
ΔE_f (raw) (meV per atom): -974
M_tot (μB/f.u.): 0.0
Theoretical density (g/cm³): 6.195
Calculated volume (Å³ per atom): 32.54

=====

DFT (PBE) results for crystalline Na3ZnSi at its relaxed geometry.

a b c (Å): 5.6511 5.6511 5.6511
angles (deg): 90.00 90.00 90.00
Positions (direct):
Na 0.0000 0.0000 0.5000
Na 0.0000 0.5000 0.0000
Na 0.5000 0.0000 0.0000
Zn 0.5000 0.5000 0.5000
Si 0.0000 0.0000 0.0000

Values from the calculation:
Energy (eV per atom): -1.74
ΔE_f (raw) (meV per atom): 391
M_tot (μB/f.u.): 1.0
Theoretical density (g/cm³): 1.495
Energy above the most stable polymorph in this dataset (meV/atom): 282.6
Calculated volume (Å³ per atom): 36.09

=====

DFT (PBE) results for crystalline Nd2Dy6YEr3 at its relaxed geometry.

a b c (Å): 6.1622 6.1622 11.7953
angles (deg): 94.98 94.98 119.95
Positions (direct):
Nd 0.1668 0.8332 0.0000
Nd 0.8332 0.1668 0.0000
Dy 0.0817 0.4150 0.7461
Dy 0.2519 0.2519 0.2540
Dy 0.4150 0.0817 0.7461
Dy 0.5850 0.9183 0.2539
Dy 0.7481 0.7481 0.7460
Dy 0.9183 0.5850 0.2539
Y 0.5000 0.5000 0.0000
Er 0.0000 0.0000 0.5000
Er 0.3336 0.6664 0.5000
Er 0.6664 0.3336 0.5000

Values from the calculation:
Energy (eV per atom): -4.76
M_tot (μB/f.u.): 0.0
Theoretical density (g/cm³): 8.055
Calculated volume (Å³ per atom): 31.85
ΔE_f (eV/atom): 0.02

=====

DFT (PBE) results for crystalline KThTe3Au at its relaxed geometry.

a b c (Å): 8.3277 8.3277 11.5746
angles (deg): 90.00 90.00 148.79
Positions (direct):
K 0.2418 0.7582 0.7500
K 0.7582 0.2418 0.2500
Th 0.0000 0.0000 0.0000
Th 0.0000 0.0000 0.5000
Te 0.0785 0.9215 0.2500
Te 0.3671 0.6329 0.0551
Te 0.3671 0.6329 0.4449
Te 0.6329 0.3671 0.5551
Te 0.6329 0.3671 0.9449
Te 0.9215 0.0785 0.7500
Au 0.4696 0.5304 0.2500
Au 0.5304 0.4696 0.7500

Values from the calculation:
Energy (eV per atom): -4.54
ΔE_f (raw) (meV per atom): -1005
M_tot (μB/f.u.): 0.0
Theoretical density (g/cm³): 6.794
Calculated volume (Å³ per atom): 34.66

=====

DFT (PBE) results for crystalline SbPb4Au4 at its relaxed geometry.

a b c (Å): 7.6989 7.6989 8.1907
angles (deg): 90.00 90.00 90.00
Positions (direct):
Sb 0.2500 0.2500 0.2500
Sb 0.7500 0.7500 0.7500
Pb 0.0238 0.6747 0.1425
Pb 0.1747 0.9762 0.6425
Pb 0.3253 0.5238 0.6425
Pb 0.4762 0.8253 0.1425
Pb 0.5238 0.1747 0.8575
Pb 0.6747 0.4762 0.3575
Pb 0.8253 0.0238 0.3575
Pb 0.9762 0.3253 0.8575
Au 0.0171 0.3159 0.4988
Au 0.1841 0.0171 0.0012
Au 0.3159 0.4829 0.0012
Au 0.4829 0.1841 0.4988
Au 0.5171 0.8159 0.5012
Au 0.6841 0.5171 0.9988
Au 0.8159 0.9829 0.9988
Au 0.9829 0.6841 0.5012

Values from the calculation:
Energy (eV per atom): -3.61
ΔE_f (raw) (meV per atom): -45
M_tot (μB/f.u.): 0.0
Theoretical density (g/cm³): 11.892
Calculated volume (Å³ per atom): 26.97

=====

DFT (PBE) results for crystalline Tb3Pr3Tm8 at its relaxed geometry.

a b c (Å): 9.6692 9.6692 9.6692
angles (deg): 146.21 112.69 77.48
Positions (direct):
Tb 0.0000 0.0000 0.0000
Tb 0.2976 0.0000 0.2976
Tb 0.7024 0.0000 0.7024
Pr 0.3136 0.8136 0.5000
Pr 0.5000 0.5000 0.0000
Pr 0.6864 0.1864 0.5000
Tm 0.0563 0.3978 0.6585
Tm 0.0575 0.2194 0.8381
Tm 0.2606 0.6022 0.6585
Tm 0.3813 0.2194 0.1619
Tm 0.6187 0.7806 0.8381
Tm 0.7394 0.3978 0.3415
Tm 0.9425 0.7806 0.1619
Tm 0.9437 0.6022 0.3415

Values from the calculation:
Energy (eV per atom): -4.46
M_tot (μB/f.u.): 0.0
Theoretical density (g/cm³): 8.227
Calculated volume (Å³ per atom): 32.45
ΔE_f (eV/atom): 0.11

=====

DFT (PBE) results for crystalline LaTb2Pr6Y at its relaxed geometry.

a b c (Å): 9.0365 9.0365 9.8771
angles (deg): 93.97 93.97 117.58
Positions (direct):
La 0.0270 0.9730 0.7500
La 0.9730 0.0270 0.2500
Tb 0.1997 0.2976 0.5469
Tb 0.2976 0.1997 0.0469
Tb 0.7024 0.8003 0.9531
Tb 0.8003 0.7024 0.4531
Pr 0.0119 0.5621 0.6840
Pr 0.1148 0.7539 0.0545
Pr 0.2461 0.8852 0.4455
Pr 0.2963 0.5096 0.8811
Pr 0.4379 0.9881 0.8160
Pr 0.4904 0.7037 0.6189
Pr 0.5096 0.2963 0.3811
Pr 0.5621 0.0119 0.1840
Pr 0.7037 0.4904 0.1189
Pr 0.7539 0.1148 0.5545
Pr 0.8852 0.2461 0.9455
Pr 0.9881 0.4379 0.3160
Y 0.4092 0.5908 0.2500
Y 0.5908 0.4092 0.7500

Values from the calculation:
Energy (eV per atom): -4.82
M_tot (μB/f.u.): 0.0
Theoretical density (g/cm³): 6.521
Calculated volume (Å³ per atom): 35.43
ΔE_f (eV/atom): 0.11

=====

DFT (PBE) results for crystalline LiSi4Pd6 at its relaxed geometry.

a b c (Å): 6.3232 6.3232 6.3232
angles (deg): 115.42 115.42 98.14
Positions (direct):
Li 0.0000 0.0000 0.0000
Si 0.1492 0.5698 0.0000
Si 0.4302 0.4302 0.5794
Si 0.5698 0.1492 0.0000
Si 0.8508 0.8508 0.4206
Pd 0.0000 0.5000 0.5000
Pd 0.2164 0.2164 0.7109
Pd 0.4945 0.7836 0.0000
Pd 0.5000 0.0000 0.5000
Pd 0.5055 0.5055 0.2891
Pd 0.7836 0.4945 0.0000

Values from the calculation:
Energy (eV per atom): -5.34
ΔE_f (raw) (meV per atom): -362
M_tot (μB/f.u.): 0.0
Theoretical density (g/cm³): 6.655
Energy above the most stable polymorph in this dataset (meV/atom): 273.2
Calculated volume (Å³ per atom): 17.19

=====

> M_tot of number 6 (Na3ZnSi)?

1.0 μB/f.u.